(1)
Material: BeSbAsSe2
Method: DFT, PBEsol
State: relaxed

The structure belongs to space group P4/mmm (No. 123); the cell edges are 4.637, 4.637 and 4.452 Å and the angles 90.00°, 90.00° and 90.00°. The inequivalent atoms are Be at (0.000, 0.000, 0.000), Sb at (0.500, 0.500, 0.500), As at (0.000, 0.000, 0.500) and Se at (0.000, 0.500, 0.000).

For the energy above the most stable polymorph in this dataset, the calculation gives 0 meV per atom. The value obtained for the formation energy without anion corrections is 0.2156 eV/atom. As for the final energy: -0.14910 hartree per atom.

=====

(2)
Material: Sc2BeAs
Method: DFT, PBEsol
State: relaxed

The structure belongs to space group Imm2 (No. 44); the cell edges are 3.475, 4.070 and 9.538 Å and the angles 90.00°, 90.00° and 90.00°. The inequivalent atoms are Sc at (0.000, 0.000, 0.000), Sc at (0.000, 0.500, 0.236), Be at (0.000, 0.000, 0.454) and As at (0.000, 0.500, 0.790).

For the energy above the most stable polymorph in this dataset, the calculation gives 210 meV per atom. The value obtained for the formation energy is -0.5645 eV/atom. As for the final energy: -0.22577 hartree per atom.

=====

(3)
Material: Sc2BeAs
Method: DFT, PBEsol
State: relaxed

The structure belongs to space group P4/mmm (No. 123); the cell edges are 3.417, 3.417 and 5.741 Å and the angles 90.00°, 90.00° and 90.00°. The inequivalent atoms are Sc at (0.000, 0.000, 0.250), Be at (0.500, 0.500, 0.000) and As at (0.500, 0.500, 0.500).

For the energy above the most stable polymorph in this dataset, the calculation gives 235 meV per atom. The value obtained for the formation energy is -0.5395 eV/atom. As for the final energy: -0.22485 hartree per atom.

=====

(4)
Material: Sc2BeAs
Method: DFT, PBEsol
State: relaxed

The structure belongs to space group Amm2 (No. 38); the cell edges are 3.605, 3.851 and 9.779 Å and the angles 90.00°, 90.00° and 90.00°. The inequivalent atoms are Sc at (0.000, 0.000, 0.000), Sc at (0.500, 0.000, 0.289), Be at (0.500, 0.000, 0.568) and As at (0.000, 0.000, 0.713).

For the energy above the most stable polymorph in this dataset, the calculation gives 0 meV per atom. The value obtained for the formation energy is -0.7748 eV/atom. As for the final energy: -0.23350 hartree per atom.

=====

(5)
Material: BeAsSe
Method: DFT, PBEsol
State: relaxed

The structure belongs to space group I4mm (No. 107); the cell edges are 3.197, 3.197 and 10.096 Å and the angles 90.00°, 90.00° and 90.00°. The inequivalent atoms are Be at (0.000, 0.000, 0.000), As at (0.000, 0.000, 0.364) and Se at (0.000, 0.000, 0.605).

For the energy above the most stable polymorph in this dataset, the calculation gives 12 meV per atom. The value obtained for the formation energy without anion corrections is 0.2072 eV/atom. As for the final energy: -0.15110 hartree per atom.

=====

(6)
Material: BeAsSe
Method: DFT, PBEsol
State: relaxed

The structure belongs to space group Fmm2 (No. 42); the cell edges are 3.719, 5.500 and 10.627 Å and the angles 90.00°, 90.00° and 90.00°. The inequivalent atoms are Be at (0.000, 0.000, 0.000), As at (0.000, 0.000, 0.371) and Se at (0.000, 0.000, 0.616).

For the energy above the most stable polymorph in this dataset, the calculation gives 0 meV per atom. The value obtained for the formation energy without anion corrections is 0.1949 eV/atom. As for the final energy: -0.15155 hartree per atom.

=====

(7)
Material: BeAsSe3
Method: DFT, PBEsol
State: relaxed

The structure belongs to space group Pm-3m (No. 221); the cell edges are 4.921, 4.921 and 4.921 Å and the angles 90.00°, 90.00° and 90.00°. The inequivalent atoms are Be at (0.000, 0.000, 0.000), As at (0.500, 0.500, 0.500) and Se at (0.000, 0.500, 0.500).

The value obtained for the formation energy without anion corrections is 0.8671 eV/atom. As for the final energy: -0.11996 hartree per atom.

=====

(8)
Material: BeSiAsSe2
Method: DFT, PBEsol
State: relaxed

The structure belongs to space group P4/mmm (No. 123); the cell edges are 4.651, 4.651 and 4.236 Å and the angles 90.00°, 90.00° and 90.00°. The inequivalent atoms are Be at (0.000, 0.000, 0.000), Si at (0.500, 0.500, 0.500), As at (0.000, 0.000, 0.500) and Se at (0.000, 0.500, 0.000).

The value obtained for the formation energy without anion corrections is 0.4608 eV/atom. As for the final energy: -0.14883 hartree per atom.

=====

(9)
Material: SrBeAsSe2
Method: DFT, PBEsol
State: relaxed

The structure belongs to space group P4/mmm (No. 123); the cell edges are 5.559, 5.559 and 5.573 Å and the angles 90.00°, 90.00° and 90.00°. The inequivalent atoms are Sr at (0.000, 0.000, 0.000), Be at (0.500, 0.500, 0.500), As at (0.000, 0.000, 0.500) and Se at (0.000, 0.500, 0.000).

The value obtained for the formation energy without anion corrections is 1.0722 eV/atom. As for the final energy: -0.09765 hartree per atom.

=====

(10)
Material: BeTeAs2Se
Method: DFT, PBEsol
State: relaxed

The structure belongs to space group P4/mmm (No. 123); the cell edges are 4.625, 4.625 and 4.458 Å and the angles 90.00°, 90.00° and 90.00°. The inequivalent atoms are Be at (0.000, 0.000, 0.000), Te at (0.500, 0.500, 0.500), As at (0.000, 0.500, 0.000) and Se at (0.000, 0.000, 0.500).

The value obtained for the formation energy without anion corrections is 0.3625 eV/atom. As for the final energy: -0.14536 hartree per atom.

=====

(11)
Material: BeTlAs2Se
Method: DFT, PBEsol
State: relaxed

The structure belongs to space group P4/mmm (No. 123); the cell edges are 5.234, 5.234 and 5.250 Å and the angles 90.00°, 90.00° and 90.00°. The inequivalent atoms are Be at (0.000, 0.000, 0.000), Tl at (0.500, 0.500, 0.500), As at (0.000, 0.500, 0.500) and Se at (0.500, 0.500, 0.000).

The value obtained for the formation energy without anion corrections is 1.5268 eV/atom. As for the final energy: -0.09598 hartree per atom.

=====

(12)
Material: BeZnAsSe2
Method: DFT, PBEsol
State: relaxed

The structure belongs to space group P4/mmm (No. 123); the cell edges are 4.856, 4.856 and 4.628 Å and the angles 90.00°, 90.00° and 90.00°. The inequivalent atoms are Be at (0.000, 0.000, 0.000), Zn at (0.500, 0.500, 0.500), As at (0.500, 0.500, 0.000) and Se at (0.000, 0.500, 0.500).

The value obtained for the formation energy without anion corrections is 0.9509 eV/atom. As for the final energy: -0.10021 hartree per atom.

=====

(13)
Material: ZrBe2AsSe
Method: DFT, PBEsol
State: relaxed

The structure belongs to space group P4/mmm (No. 123); the cell edges are 4.763, 4.763 and 4.917 Å and the angles 90.00°, 90.00° and 90.00°. The inequivalent atoms are Zr at (0.000, 0.000, 0.000), Be at (0.000, 0.500, 0.000), As at (0.500, 0.500, 0.500) and Se at (0.000, 0.000, 0.500).

The value obtained for the formation energy without anion corrections is 1.1833 eV/atom. As for the final energy: -0.14795 hartree per atom.

=====

(14)
Material: BeSiAs2
Method: DFT, PBEsol
State: relaxed

The structure belongs to space group I-42d (No. 122); the cell edges are 5.322, 5.322 and 10.632 Å and the angles 90.00°, 90.00° and 90.00°. The inequivalent atoms are Be at (0.000, 0.000, 0.000), Si at (0.000, 0.000, 0.500) and As at (0.230, 0.250, 0.125).

For the energy above the most stable polymorph in this dataset, the calculation gives 0 meV per atom. The value obtained for the formation energy without anion corrections is -0.2006 eV/atom. As for the final energy: -0.19074 hartree per atom.

=====

(15)
Material: BeSiAs2
Method: DFT, PBEsol
State: relaxed

The structure belongs to space group Immm (No. 71); the cell edges are 3.509, 5.248 and 6.911 Å and the angles 90.00°, 90.00° and 90.00°. The inequivalent atoms are Be at (0.000, 0.000, 0.000), Si at (0.000, 0.000, 0.500) and As at (0.000, 0.500, 0.279).

For the energy above the most stable polymorph in this dataset, the calculation gives 629 meV per atom. The value obtained for the formation energy without anion corrections is 0.4287 eV/atom. As for the final energy: -0.16762 hartree per atom.

=====

(16)
Material: BeSiAs2
Method: DFT, PBEsol
State: relaxed

The structure belongs to space group P4/mmm (No. 123); the cell edges are 4.336, 4.336 and 3.228 Å and the angles 90.00°, 90.00° and 90.00°. The inequivalent atoms are Be at (0.000, 0.000, 0.000), Si at (0.500, 0.500, 0.000) and As at (0.000, 0.500, 0.500).

For the energy above the most stable polymorph in this dataset, the calculation gives 707 meV per atom. The value obtained for the formation energy without anion corrections is 0.5060 eV/atom. As for the final energy: -0.16478 hartree per atom.

=====

(17)
Material: BeSiAs2
Method: DFT, PBEsol
State: relaxed

The structure belongs to space group R-3m (No. 166, hexagonal axes); the cell edges are 3.5669, 3.5669 and 17.0169 Å and the angles 90.00°, 90.00° and 120.00°. The inequivalent atoms are Be at (0.0000, 0.0000, 0.0000), Si at (0.0000, 0.0000, 0.5000) and As at (0.0000, 0.0000, 0.2558).

For the energy above the most stable polymorph in this dataset, the calculation gives 352 meV per atom. The value obtained for the formation energy without anion corrections is 0.1517 eV/atom. As for the final energy: -0.17780 hartree per atom.

=====

(18)
Material: BeSiAs2
Method: DFT, PBEsol
State: relaxed

The structure belongs to space group Fm-3m (No. 225); the cell edges are 6.237, 6.237 and 6.237 Å and the angles 90.00°, 90.00° and 90.00°. The inequivalent atoms are Be at (0.000, 0.000, 0.000), Si at (0.000, 0.000, 0.500) and As at (0.250, 0.250, 0.250).

For the energy above the most stable polymorph in this dataset, the calculation gives 709 meV per atom. The value obtained for the formation energy without anion corrections is 0.5088 eV/atom. As for the final energy: -0.16467 hartree per atom.

=====

(19)
Material: BeSi2As
Method: DFT, PBEsol
State: relaxed

The structure belongs to space group I-42d (No. 122); the cell edges are 5.324, 5.324 and 10.501 Å and the angles 90.00°, 90.00° and 90.00°. The inequivalent atoms are Be at (0.000, 0.000, 0.000), Si at (0.215, 0.250, 0.125) and As at (0.000, 0.000, 0.500).

The value obtained for the formation energy without anion corrections is 0.2854 eV/atom. As for the final energy: -0.17877 hartree per atom.

=====

(20)
Material: BeSiAs2
Method: DFT, PBEsol
State: relaxed

The structure belongs to space group I4/mmm (No. 139); the cell edges are 4.722, 4.722 and 5.471 Å and the angles 90.00°, 90.00° and 90.00°. The inequivalent atoms are Be at (0.000, 0.000, 0.000), Si at (0.000, 0.000, 0.500) and As at (0.000, 0.500, 0.250).

For the energy above the most stable polymorph in this dataset, the calculation gives 684 meV per atom. The value obtained for the formation energy without anion corrections is 0.4838 eV/atom. As for the final energy: -0.16559 hartree per atom.

=====

(21)
Material: Be2SnAs
Method: DFT, PBEsol
State: relaxed

The structure belongs to space group Fm-3m (No. 225); the cell edges are 6.297, 6.297 and 6.297 Å and the angles 90.00°, 90.00° and 90.00°. The inequivalent atoms are Be at (0.250, 0.250, 0.250), Sn at (0.000, 0.000, 0.000) and As at (0.000, 0.000, 0.500).

The value obtained for the formation energy is 0.6164 eV/atom. As for the final energy: -0.13689 hartree per atom.

=====

(22)
Material: SrBeAs3
Method: DFT, PBEsol
State: relaxed

The structure belongs to space group Pm-3m (No. 221); the cell edges are 4.663, 4.663 and 4.663 Å and the angles 90.00°, 90.00° and 90.00°. The inequivalent atoms are Sr at (0.000, 0.000, 0.000), Be at (0.500, 0.500, 0.500) and As at (0.000, 0.500, 0.500).

The value obtained for the formation energy is -0.1603 eV/atom. As for the final energy: -0.16141 hartree per atom.

=====

(23)
Material: SrBeAs2
Method: DFT, PBEsol
State: relaxed

The structure belongs to space group Imm2 (No. 44); the cell edges are 3.764, 4.442 and 10.352 Å and the angles 90.00°, 90.00° and 90.00°. The inequivalent atoms are Sr at (0.000, 0.000, 0.000), Be at (0.000, 0.500, 0.250), As at (0.000, 0.000, 0.627) and As at (0.000, 0.500, 0.764).

The value obtained for the formation energy is -0.1515 eV/atom. As for the final energy: -0.15305 hartree per atom.

=====

(24)
Material: SrBe2As2
Method: DFT, PBEsol
State: relaxed

The structure belongs to space group I4/mmm (No. 139); the cell edges are 3.768, 3.768 and 12.725 Å and the angles 90.00°, 90.00° and 90.00°. The inequivalent atoms are Sr at (0.000, 0.000, 0.000), Be at (0.000, 0.500, 0.250) and As at (0.000, 0.000, 0.356).

The value obtained for the formation energy is -0.6114 eV/atom. As for the final energy: -0.16986 hartree per atom.

=====

(25)
Material: Sr2BeAs
Method: DFT, PBEsol
State: relaxed

The structure belongs to space group Fm-3m (No. 225); the cell edges are 7.464, 7.464 and 7.464 Å and the angles 90.00°, 90.00° and 90.00°. The inequivalent atoms are Sr at (0.250, 0.250, 0.250), Be at (0.000, 0.000, 0.000) and As at (0.000, 0.000, 0.500).

The value obtained for the formation energy is -0.2029 eV/atom. As for the final energy: -0.12494 hartree per atom.

=====

(26)
Material: TaBe2As
Method: DFT, PBEsol
State: relaxed

The structure belongs to space group P4/mmm (No. 123); the cell edges are 2.734, 2.734 and 7.454 Å and the angles 90.00°, 90.00° and 90.00°. The inequivalent atoms are Ta at (0.000, 0.000, 0.000), Be at (0.500, 0.500, 0.240) and As at (0.000, 0.000, 0.500).

The value obtained for the formation energy is 0.3474 eV/atom. As for the final energy: -0.22296 hartree per atom.

=====

(27)
Material: Ta2BeAs
Method: DFT, PBEsol
State: relaxed

The structure belongs to space group Amm2 (No. 38); the cell edges are 3.517, 3.485 and 9.318 Å and the angles 90.00°, 90.00° and 90.00°. The inequivalent atoms are Ta at (0.000, 0.000, 0.000), Ta at (0.500, 0.000, 0.304), Be at (0.000, 0.000, 0.737) and As at (0.500, 0.000, 0.588).

For the energy above the most stable polymorph in this dataset, the calculation gives 0 meV per atom. The value obtained for the formation energy is -0.3379 eV/atom. As for the final energy: -0.32670 hartree per atom.

=====

(28)
Material: TaBeAs3
Method: DFT, PBEsol
State: relaxed

The structure belongs to space group Pm-3m (No. 221); the cell edges are 4.918, 4.918 and 4.918 Å and the angles 90.00°, 90.00° and 90.00°. The inequivalent atoms are Ta at (0.000, 0.000, 0.000), Be at (0.500, 0.500, 0.500) and As at (0.000, 0.000, 0.500).

The value obtained for the formation energy is 0.8351 eV/atom. As for the final energy: -0.20355 hartree per atom.

=====

(29)
Material: TaBe3As
Method: DFT, PBEsol
State: relaxed

The structure belongs to space group Pm-3m (No. 221); the cell edges are 4.122, 4.122 and 4.122 Å and the angles 90.00°, 90.00° and 90.00°. The inequivalent atoms are Ta at (0.000, 0.000, 0.000), Be at (0.000, 0.500, 0.500) and As at (0.500, 0.500, 0.500).

The value obtained for the formation energy is 1.1230 eV/atom. As for the final energy: -0.17671 hartree per atom.

=====

(30)
Material: Ta2BeAs
Method: DFT, PBEsol
State: relaxed

The structure belongs to space group Fm-3m (No. 225); the cell edges are 6.178, 6.178 and 6.178 Å and the angles 90.00°, 90.00° and 90.00°. The inequivalent atoms are Ta at (0.250, 0.250, 0.250), Be at (0.000, 0.000, 0.000) and As at (0.000, 0.000, 0.500).

For the energy above the most stable polymorph in this dataset, the calculation gives 468 meV per atom. The value obtained for the formation energy is 0.1302 eV/atom. As for the final energy: -0.30950 hartree per atom.